Here is PmDy6Mg12 after structural relaxation from the Alexandria database. Energies are from PBE.

## Properties
- uncorrected energy (eV/atom) = -2.422
- volume (Å³/cell) = 566.7
- crystal system = trigonal
- E_form (eV/atom) = 0.29
- total magnetic moment (μB/cell) = 0.0
- SG = R-3m, No. 166

Lattice parameters (Å, degrees): 8.911 8.911 8.911 108.32 108.32 108.32
Atoms (fractional coordinates):
Mg1 0.153 0.359 0.359
Mg2 0.897 0.103 0.500
Mg3 0.641 0.641 0.847
Mg4 0.103 0.500 0.897
Mg5 0.500 0.897 0.103
Mg6 0.359 0.359 0.153
Mg7 0.359 0.153 0.359
Mg8 0.897 0.500 0.103
Mg9 0.641 0.847 0.641
Mg10 0.500 0.103 0.897
Mg11 0.847 0.641 0.641
Mg12 0.103 0.897 0.500
Dy1 0.245 0.682 0.682
Dy2 0.318 0.318 0.755
Dy3 0.682 0.245 0.682
Dy4 0.755 0.318 0.318
Dy5 0.318 0.755 0.318
Dy6 0.682 0.682 0.245
Pm1 0.000 0.000 0.000